! LaP2Ru | Alexandria | GGA-PBE | relaxed; values from VASP
! Offset from the most stable computed form   0.1386 eV/atom
! E   -0.2611 hartree per atom
! SG   I-4m2 (119)
! Energy of formation   -327 kJ/mol of formula units
&SYSTEM
  ibrav = 0, nat = 4, ntyp = 3
/
ATOMIC_SPECIES
La 138.91 La.upf
P 30.97 P.upf
Ru 101.07 Ru.upf
ATOMIC_POSITIONS crystal
La 0.222 0.881 0.228
P 0.856 0.516 0.498
P 0.586 0.246 0.958
Ru 0.471 0.631 0.728
CELL_PARAMETERS angstrom
-3.430 1.113 1.902
1.721 -0.845 3.599
2.496 4.434 -2.463